(1)
First-principles (PBE) data for Gd2PSe after structural relaxation, as listed in Alexandria.

Summary:
- uncorrected energy (eV per cell) = -44.3
- spin magnetization (μB per formula unit) = 13.8
- formation energy from raw total energies (eV/atom) = -1.80

Unit cell a=4.0721 b=4.0721 c=7.1478 alpha=73.45 beta=73.45 gamma=60.00
Site moments in Bohr magnetons follow the coordinates.
Atoms (fractional coordinates):
Se1 0.5000 0.5000 0.5000  -0.03
P1 0.0000 0.0000 0.0000  -0.04
Gd1 0.7436 0.7436 0.7692  6.91
Gd2 0.2564 0.2564 0.2308  6.91

---

(2)
First-principles (PBE) data for La4Tb2Tm5 after structural relaxation, as listed in Alexandria.

Summary:
- uncorrected energy (eV per cell) = -50.8
- ΔH_f (0 K) (eV/atom) = 0.05
- spin magnetization (μB per formula unit) = 0.0
- relative energy among the computed polymorphs (eV per atom) = 0.000

Unit cell a=3.6682 b=9.5976 c=12.1059 alpha=67.03 beta=81.28 gamma=67.56
Atoms (fractional coordinates):
Tb1 0.1638 0.4480 0.7763
Tm1 0.0045 0.8703 0.2505
Tb2 0.8362 0.5520 0.2237
La1 0.7986 0.8832 0.6359
Tm2 0.5000 0.0000 0.0000
Tm3 0.9955 0.1297 0.7495
La2 0.6693 0.2903 0.0805
La3 0.2014 0.1168 0.3641
La4 0.3307 0.7097 0.9195
Tm4 0.5916 0.6586 0.4994
Tm5 0.4084 0.3414 0.5006